Compound: HfScTlF2
Source: the Alexandria database
Functional: PBE-GGA
Structure: relaxed

ΔE_f (raw)   -0.243 eV per atom
Theoretical density   6.16 g/cm³
E   -4.722 eV per atom
Size of the total moment   0.00 μB per formula unit

Unit cell a=4.6166 b=5.8874 c=4.6166 alpha=90.00 beta=90.00 gamma=90.00
Closest atoms and distances in Å follow each position.
Positions (direct):
Sc (0.5000, 0.5000, 0.5000)  4 Hf 3.26
Tl (0.0000, 0.0000, 0.0000)  4 F 2.31
Hf (0.0000, 0.5000, 0.0000)  2 Tl 2.94, 4 Sc 3.26
F (0.0000, 0.0000, 0.5000)  2 Tl 2.31
F (0.5000, 0.0000, 0.0000)  2 Tl 2.31

Compound: V2AgPd7
Source: the Alexandria database
Functional: PBE-GGA
Structure: relaxed

ΔH_f (0 K)   361 meV per atom
Theoretical density   8.35 g/cm³
E   -5.383 eV per atom
Size of the total moment   2.18 μB per formula unit

Unit cell a=4.1697 b=7.3146 c=7.3147 alpha=121.62 beta=90.00 gamma=90.00
Closest atoms and distances in Å follow each position.
Positions (direct):
V (0.5000, 0.6939, 0.3061)  5 Pd 2.39-2.48
V (0.5000, 0.3061, 0.6939)  5 Pd 2.39-2.48
Ag (0.0000, 0.0000, 0.0000)  10 Pd 2.74-2.91
Pd (0.0000, 0.7858, 0.2142)  2 V 2.39
Pd (0.0000, 0.2142, 0.7858)  2 V 2.39
Pd (0.5000, 0.0741, 0.3085)  1 V 2.41, 1 Pd 2.66
Pd (0.5000, 0.9259, 0.6915)  1 V 2.41, 1 Pd 2.66
Pd (0.5000, 0.3085, 0.0741)  1 V 2.41, 1 Pd 2.66
Pd (0.5000, 0.6915, 0.9259)  1 V 2.41, 1 Pd 2.66
Pd (0.5000, 0.5000, 0.5000)  2 V 2.48, 4 Pd 2.66

Compound: VGa2Co
Source: the Alexandria database
Functional: PBE-GGA
Structure: relaxed

ΔH_f (0 K)   -209 meV per atom
Theoretical density   7.94 g/cm³
E   -5.779 eV per atom
Size of the total moment   0.07 μB per formula unit

Unit cell a=2.7935 b=2.7935 c=6.6845 alpha=90.00 beta=90.00 gamma=90.00
Closest atoms and distances in Å follow each position.
Positions (direct):
Co (0.5000, 0.5000, 0.0000)  8 Ga 2.48
Ga (0.0000, 0.0000, 0.7755)  4 Co 2.48, 4 V 2.70
Ga (0.0000, 0.0000, 0.2245)  4 Co 2.48, 4 V 2.70
V (0.5000, 0.5000, 0.5000)  8 Ga 2.70, 4 V 2.79